The following is a GGA-PBE calculation of a relaxed RbIn3As3 crystal, from Alexandria.

Results
Formation energy from the elements (eV/atom): -0.242
Relative energy among the computed polymorphs (eV/f.u.): 0.00
Density of states at the Fermi level (states/eV/cell): 3.171
Volume (A^3/atom): 33.76
Symmetry: R-3, No. 148

Lattice parameters (Å, degrees): 8.008 8.008 9.685 65.58 65.58 60.00
Sites, in units of the cell vectors:
As (0.905, 0.238, 0.291)
In (0.128, 0.453, 0.626)
As (0.434, 0.095, 0.709)
In (0.793, 0.128, 0.626)
Rb (0.334, 0.334, 0.999)
In (0.547, 0.207, 0.374)
In (0.453, 0.793, 0.626)
As (0.095, 0.762, 0.709)
As (0.238, 0.566, 0.291)
In (0.872, 0.547, 0.374)
As (0.566, 0.905, 0.291)
Rb (0.666, 0.666, 0.001)
In (0.207, 0.872, 0.374)
As (0.762, 0.434, 0.709)